(1)
A plane-wave DFT calculation with PBE was carried out for a relaxed structure of ZnCd2Pd2.

Computed properties:
Density of states at the Fermi level   2.03 states/eV/f.u.
E_form   -0.1410 eV/atom

Cell and atoms, written as extended XYZ:
```
10
Lattice="-0.811 4.914 5.978 -3.976 -5.421 3.917 2.612 -1.041 1.211" Properties=species:S:1:pos:R:3 pbc="T T T"
Zn 0.000 0.000 0.000
Zn -2.394 -0.253 4.947
Pd -1.418 -3.309 4.085
Pd -2.590 -1.896 7.828
Pd -0.758 1.761 7.021
Pd 0.414 0.348 3.277
Cd -3.694 -2.891 5.484
Cd -3.254 0.718 7.640
Cd -1.094 2.384 4.411
Cd -1.533 -1.225 2.255
```



(2)
A plane-wave DFT calculation with PBE was carried out for a relaxed structure of ZnCd2Pd2.

Computed properties:
Density of states at the Fermi level   2.22 states/eV/f.u.
E_form   0.0447 eV/atom

Cell and atoms, written as extended XYZ:
```
5
Lattice="-0.980 2.451 -2.797 0.223 -2.849 -2.574 -6.959 -1.648 -1.651" Properties=species:S:1:pos:R:3 pbc="T T T"
Zn 0.000 0.000 0.000
Pd -4.159 0.302 -3.567
Pd -3.558 -2.348 -3.456
Cd -1.733 -0.497 -2.473
Cd -5.983 -1.548 -4.550
```



(3)
A plane-wave DFT calculation with PBE was carried out for a relaxed structure of Zn2CdPd3.

Computed properties:
Density of states at the Fermi level   0.74 states/eV/f.u.
E_form   -0.5173 eV/atom

Cell and atoms, written as extended XYZ:
```
6
Lattice="-2.971 -0.136 -0.070 0.152 -2.756 -1.111 -0.048 -3.908 9.689" Properties=species:S:1:pos:R:3 pbc="T T T"
Zn -1.450 -4.740 7.578
Zn -1.417 -2.059 0.931
Cd -1.433 -3.400 4.254
Pd 0.000 0.000 0.000
Pd -0.033 -2.700 6.695
Pd -0.015 -1.208 2.994
```



(4)
A plane-wave DFT calculation with PBE was carried out for a relaxed structure of Zn2CdPd7.

Computed properties:
Density of states at the Fermi level   8.30 states/eV/f.u.
E_form   0.1231 eV/atom

Cell and atoms, written as extended XYZ:
```
10
Lattice="-2.892 -2.993 -1.269 1.013 -3.598 6.175 -5.101 5.092 -0.382" Properties=species:S:1:pos:R:3 pbc="T T T"
Zn -2.271 -2.482 3.570
Zn -4.710 0.984 0.954
Cd 0.000 0.000 0.000
Pd -0.288 -1.749 4.780
Pd -3.800 3.243 1.013
Pd -2.907 -0.224 -0.306
Pd -4.074 -1.274 4.829
Pd -1.508 -2.212 1.194
Pd -5.473 0.714 3.329
Pd -3.490 -0.749 2.262
```